Material: MnClF
Method: DFT, PBE+U
State: optimized geometry

Geometry as POSCAR:
```
MnClF
1.0
-4.863 2.047 -0.712
-0.087 -1.347 -3.282
-1.205 -1.912 2.735
F Cl Mn
1 1 1
Direct
0.134 0.000 0.000
0.575 0.333 0.667
0.291 0.667 0.333
```

Values from the calculation:
**E above lowest polymorph**: 0.062 eV/atom
**Spin magnetization**: 5.00 μB/cell
**Space-group type**: P3m1, No. 156